# 1
Entry from Alexandria: a relaxed CsSc2W crystal (GGA-PBE).

It has space group R-3m (No. 166, hexagonal axes), with a = 3.3764 Å, b = 3.3764 Å, c = 33.5882 Å, α = 90.00°, β = 90.00° and γ = 120.00°. The inequivalent atoms are Cs at (0.0000, 0.0000, 0.0000), Sc at (0.0000, 0.0000, 0.1075) and W at (0.0000, 0.0000, 0.5000).

As for the excess energy over the best structure of this formula in the dataset: 0.0 meV/atom.

=====

# 2
Entry from Alexandria: a relaxed CaSc2Ta crystal (GGA-PBE).

It has space group P4/mmm (No. 123), with a = 4.6951 Å, b = 4.6951 Å, c = 4.3227 Å, α = 90.00°, β = 90.00° and γ = 90.00°. The inequivalent atoms are Ca at (0.0000, 0.0000, 0.0000), Sc at (0.0000, 0.5000, 0.5000) and Ta at (0.5000, 0.5000, 0.0000).

As for the excess energy over the best structure of this formula in the dataset: 273.0 meV/atom.

=====

# 3
Entry from Alexandria: a relaxed PmSiTc2B crystal (GGA-PBE).

It has space group Cmcm (No. 63), with a = 5.6108 Å, b = 10.1314 Å, c = 5.5894 Å, α = 90.00°, β = 90.00° and γ = 90.00°. The inequivalent atoms are Pm at (0.0000, 0.2419, 0.2500), Si at (0.0000, 0.1353, 0.7500), Tc at (0.2208, 0.5000, 0.0000) and B at (0.0000, 0.3673, 0.7500).

Its uncorrected formation energy is -409 meV/atom.

=====

Electronic total energy for the records above, in order: -5.9090, -6.1404, -7.9252 eV/atom
Density of states at the Fermi level for the records above, in order: 1.593, 1.456, 0.899 states/eV/atom